1.
## SmEr2Ga2Cu2 (GGA-PBE)

Data for SmEr2Ga2Cu2 after structural relaxation.

Its formation energy from the elements is -392 meV/atom. As for the space group: R-3m, No. 166.

The structure in extended XYZ format:
```
7
Lattice="2.199 1.270 9.083 -2.199 1.270 9.083 0.000 -2.539 9.083" Properties=species:S:1:pos:R:3 pbc="T T T"
Sm 0.000 0.000 0.000
Er 0.000 0.000 3.412
Er 0.000 0.000 23.837
Ga 0.000 0.000 7.080
Ga 0.000 0.000 20.168
Cu 0.000 0.000 11.000
Cu 0.000 0.000 16.248
```

***

2.
## SmErGa2Cu2 (GGA-PBE)

Data for SmErGa2Cu2 after structural relaxation.

Its formation energy from the elements is -490 meV/atom. As for the space group: P-3m1, No. 164.

The structure in extended XYZ format:
```
6
Lattice="4.365 0.000 0.000 -2.183 3.781 0.000 0.000 0.000 7.180" Properties=species:S:1:pos:R:3 pbc="T T T"
Sm 0.000 0.000 0.000
Er 0.000 0.000 3.590
Ga 0.000 2.520 1.907
Ga 2.183 1.260 5.273
Cu 0.000 2.520 5.219
Cu 2.183 1.260 1.961
```

***

> Which value of formation energy from the elements does entry 1 give?

-392 meV/atom

***

> Which value of formation energy from the elements does entry 1 give?

-392 meV/atom

***

Please write out number 1 again, unchanged.
## SmEr2Ga2Cu2 (GGA-PBE)

Data for SmEr2Ga2Cu2 after structural relaxation.

Its formation energy from the elements is -392 meV/atom. As for the space group: R-3m, No. 166.

The structure in extended XYZ format:
```
7
Lattice="2.199 1.270 9.083 -2.199 1.270 9.083 0.000 -2.539 9.083" Properties=species:S:1:pos:R:3 pbc="T T T"
Sm 0.000 0.000 0.000
Er 0.000 0.000 3.412
Er 0.000 0.000 23.837
Ga 0.000 0.000 7.080
Ga 0.000 0.000 20.168
Cu 0.000 0.000 11.000
Cu 0.000 0.000 16.248
```

***

> Among the records above, which one has the lowest formation energy from the elements?

SmErGa2Cu2